Entry 1:
A plane-wave DFT calculation with GGA-PBEsol was carried out for a geometry-optimized KFe2Ru structure.

Lattice parameters (Å, degrees): 2.8033 2.8033 8.3937 90.00 90.00 90.00
Space group P4mm (No. 99)
Symmetry-distinct sites (fractional):
K: 0.0000 0.0000 0.0000 x1
Fe: 0.0000 0.0000 0.4970 x1
Fe: 0.5000 0.5000 0.6571 x1
Ru: 0.5000 0.5000 0.3230 x1

Results
* total DFT energy (no corrections): -6.5269 eV/atom
* energy above the most stable polymorph in this dataset: 0.0182 eV per atom
* ΔE_f: 0.781 eV/atom
* M_tot: 4.59 μB/f.u.

Entry 2:
A plane-wave DFT calculation with GGA-PBEsol was carried out for a geometry-optimized K2FeRu structure.

Lattice parameters (Å, degrees): 20.1941 2.9475 3.8743 90.00 100.84 90.00
Space group C2/m (No. 12)
Symmetry-distinct sites (fractional):
K: 0.1445 0.0000 0.1442 x4
Fe: 0.0000 0.5000 0.0000 x2
Ru: 0.0000 0.0000 0.5000 x2

Results
* total DFT energy (no corrections): -4.4704 eV/atom
* energy above the most stable polymorph in this dataset: 0.0000 eV per atom
* ΔE_f: 0.880 eV/atom
* M_tot: 3.62 μB/f.u.

Entry 3:
A plane-wave DFT calculation with GGA-PBEsol was carried out for a geometry-optimized KFe2Ru structure.

Lattice parameters (Å, degrees): 2.6712 3.6543 7.3955 90.00 93.52 90.00
Space group P2/m (No. 10)
Symmetry-distinct sites (fractional):
K: 0.0000 0.0000 0.0000 x1
Fe: 0.4765 0.5000 0.3483 x2
Ru: 0.0000 0.0000 0.5000 x1

Results
* total DFT energy (no corrections): -6.5451 eV/atom
* energy above the most stable polymorph in this dataset: 0.0000 eV per atom
* ΔE_f: 0.763 eV/atom
* M_tot: 4.79 μB/f.u.

Entry 4:
A plane-wave DFT calculation with GGA-PBEsol was carried out for a geometry-optimized K2FeRu structure.

Lattice parameters (Å, degrees): 7.4569 7.4569 7.4569 90.00 90.00 90.00
Space group Fm-3m (No. 225)
Symmetry-distinct sites (fractional):
K: 0.2500 0.2500 0.2500 x8
Fe: 0.0000 0.0000 0.0000 x4
Ru: 0.0000 0.0000 0.5000 x4

Results
* total DFT energy (no corrections): -3.3742 eV/atom
* energy above the most stable polymorph in this dataset: 1.0962 eV per atom
* ΔE_f: 1.976 eV/atom
* M_tot: 5.36 μB/f.u.